Record 1
A geometry-optimized KLaBr2 structure, computed with GGA-PBE.

a = 4.302 Å, b = 4.302 Å, c = 8.070 Å
α = 90.00°, β = 90.00°, γ = 90.00°
Space group P4mm (No. 99)
Unique sites:
K (0.000, 0.000, 0.000) x1
La (0.500, 0.500, 0.457) x1
Br (0.000, 0.000, 0.503) x1
Br (0.500, 0.500, 0.832) x1

Computed properties:
- uncorrected energy (eV per atom) = -3.6135
- energy above the lowest structure with this stoichiometry (meV per atom) = 158.5
- formation energy (no corrections) (eV per formula unit) = -5.08
- size of the total moment (μB per formula unit) = 1.30

Record 2
A geometry-optimized TaMo2HOs structure, computed with GGA-PBE.

a = 3.987 Å, b = 3.987 Å, c = 4.171 Å
α = 90.00°, β = 90.00°, γ = 90.00°
Space group P4/mmm (No. 123)
Unique sites:
Ta (0.000, 0.000, 0.000) x1
Mo (0.000, 0.500, 0.500) x2
H (0.000, 0.000, 0.500) x1
Os (0.500, 0.500, 0.000) x1

Computed properties:
- uncorrected energy (eV per atom) = -9.5491
- energy above the lowest structure with this stoichiometry (meV per atom) = 0.0
- size of the total moment (μB per formula unit) = 0.00

Record 3
A geometry-optimized Y3InN structure, computed with GGA-PBE.

a = 6.7067 Å, b = 6.7067 Å, c = 18.7095 Å
α = 90.00°, β = 90.00°, γ = 120.00°
Space group R-3 (No. 148, hexagonal axes)
Unique sites:
Y (0.0015, 0.4262, 0.0797) x18
In (0.0000, 0.0000, 0.1173) x6
N (0.0000, 0.0000, 0.3342) x6

Computed properties:
- uncorrected energy (eV per atom) = -6.7573
- formation energy (no corrections) (eV per formula unit) = -3.33
- size of the total moment (μB per formula unit) = 0.00

Record 4
A geometry-optimized NbAs2IBr structure, computed with GGA-PBE.

a = 5.132 Å, b = 5.132 Å, c = 5.104 Å
α = 90.00°, β = 90.00°, γ = 90.00°
Space group P4/mmm (No. 123)
Unique sites:
Nb (0.000, 0.000, 0.000) x1
As (0.000, 0.500, 0.000) x2
I (0.500, 0.500, 0.500) x1
Br (0.000, 0.000, 0.500) x1

Computed properties:
- uncorrected energy (eV per atom) = -4.3955
- energy above the lowest structure with this stoichiometry (meV per atom) = 0.0
- formation energy (no corrections) (eV per formula unit) = 0.61
- size of the total moment (μB per formula unit) = 0.00

Record 5
A geometry-optimized MnPPt2 structure, computed with GGA-PBE.

a = 3.389 Å, b = 3.737 Å, c = 5.160 Å
α = 90.00°, β = 107.55°, γ = 90.00°
Space group P2/m (No. 10)
Unique sites:
Mn (0.000, 0.000, 0.000) x1
P (0.000, 0.000, 0.500) x1
Pt (0.368, 0.500, 0.732) x2

Computed properties:
- uncorrected energy (eV per atom) = -6.8898
- DFT formation energy (meV per atom) = -225
- size of the total moment (μB per formula unit) = 3.64

Record 6
A geometry-optimized AcAsH2Ru structure, computed with GGA-PBE.

a = 4.183 Å, b = 11.169 Å, c = 6.198 Å
α = 90.00°, β = 90.00°, γ = 90.00°
Space group Cmcm (No. 63)
Unique sites:
Ac (0.000, 0.202, 0.250) x4
As (0.000, 0.074, 0.750) x4
H (0.000, 0.349, 0.557) x8
Ru (0.000, 0.500, 0.000) x4

Computed properties:
- uncorrected energy (eV per atom) = -5.5081
- size of the total moment (μB per formula unit) = 0.00